# 1
The following is a DFT calculation (PBE) of PrPu3As4 after structural relaxation.

Unit cell a=5.914 b=5.914 c=5.914 alpha=90.00 beta=90.00 gamma=90.00
Site moments in Bohr magnetons follow the coordinates.
Fractional coordinates of all 8 atoms:
Pr 0.000 0.000 0.000  0.01
As 0.500 0.000 0.000  -0.13
As 0.000 0.500 0.000  -0.13
As 0.000 0.000 0.500  -0.13
As 0.500 0.500 0.500  -0.17
Pu 0.000 0.500 0.500  5.00
Pu 0.500 0.000 0.500  5.00
Pu 0.500 0.500 0.000  5.00

Properties
**Total magnetization**: 14.89 μB per formula unit
**Formation energy from the elements**: -863 kJ/mol of formula units
**Calculated volume**: 207 Å³ per cell
**Density of states at the Fermi level**: 30.96 states/eV/cell
**Mass density**: 9.4 g cm⁻³

# 2
The following is a DFT calculation (PBE) of Pr2PuAs3 after structural relaxation.

Unit cell a=4.256 b=4.256 c=9.502 alpha=102.94 beta=102.94 gamma=89.99
Site moments in Bohr magnetons follow the coordinates.
Fractional coordinates of all 6 atoms:
Pr 0.102 0.103 0.209  0.01
Pr 0.767 0.768 0.539  0.01
Pu 0.434 0.436 0.874  5.04
As 0.934 0.936 0.874  -0.12
As 0.271 0.272 0.548  -0.05
As 0.597 0.599 0.200  -0.05

Properties
**Total magnetization**: 4.94 μB per formula unit
**Formation energy from the elements**: -763 kJ/mol of formula units
**Calculated volume**: 163 Å³ per cell
**Density of states at the Fermi level**: 13.51 states/eV/cell
**Mass density**: 7.6 g cm⁻³

# 3
The following is a DFT calculation (PBE) of PrPu5As6 after structural relaxation.

Unit cell a=7.194 b=7.226 c=7.224 alpha=59.99 beta=80.36 gamma=70.44
Site moments in Bohr magnetons follow the coordinates.
Fractional coordinates of all 12 atoms:
Pr 0.000 0.000 0.000  -0.01
As 0.745 0.085 0.341  -0.02
As 0.255 0.574 0.341  -0.02
As 0.254 0.257 0.000  -0.02
As 0.746 0.743 0.000  -0.02
As 0.745 0.426 0.659  -0.02
As 0.255 0.915 0.659  -0.02
Pu 0.500 0.164 0.671  5.08
Pu 0.000 0.333 0.334  -5.10
Pu 0.500 0.500 0.000  5.07
Pu 0.000 0.667 0.666  -5.10
Pu 0.500 0.836 0.329  5.08

Properties
**Total magnetization**: 5.05 μB per formula unit
**Formation energy from the elements**: -1234 kJ/mol of formula units
**Calculated volume**: 306 Å³ per cell
**Density of states at the Fermi level**: 56.22 states/eV/cell
**Mass density**: 9.8 g cm⁻³

# 4
The following is a DFT calculation (PBE) of Pr2PuAs3 after structural relaxation.

Unit cell a=4.258 b=6.008 c=7.353 alpha=114.11 beta=106.83 gamma=90.00
Site moments in Bohr magnetons follow the coordinates.
Fractional coordinates of all 6 atoms:
Pr 0.832 0.832 0.164  0.01
Pr 0.168 0.168 0.836  0.01
Pu 0.500 0.500 0.500  5.03
As 0.842 0.342 0.183  -0.08
As 0.158 0.658 0.817  -0.08
As 0.500 0.000 0.500  -0.07

Properties
**Total magnetization**: 4.93 μB per formula unit
**Formation energy from the elements**: -766 kJ/mol of formula units
**Calculated volume**: 163 Å³ per cell
**Density of states at the Fermi level**: 13.31 states/eV/cell
**Mass density**: 7.7 g cm⁻³

# 5
The following is a DFT calculation (PBE) of PrPuAs2Rh5 after structural relaxation.

Unit cell a=4.043 b=4.043 c=11.402 alpha=90.00 beta=90.00 gamma=90.00
Site moments in Bohr magnetons follow the coordinates.
Fractional coordinates of all 9 atoms:
Pr 0.500 0.500 0.500  0.01
Pu 0.000 0.000 0.000  4.72
As 0.000 0.000 0.291  0.03
As 0.000 0.000 0.709  0.03
Rh 0.000 0.000 0.500  0.04
Rh 0.000 0.500 0.828  -0.19
Rh 0.500 0.000 0.172  -0.19
Rh 0.000 0.500 0.172  -0.19
Rh 0.500 0.000 0.828  -0.19

Properties
**Total magnetization**: 4.26 μB per formula unit
**Formation energy from the elements**: -301 kJ/mol of formula units
**Calculated volume**: 186 Å³ per cell
**Density of states at the Fermi level**: 12.94 states/eV/cell
**Mass density**: 9.4 g cm⁻³

# 6
The following is a DFT calculation (PBE) of PrPuSc2As4 after structural relaxation.

Unit cell a=4.070 b=6.984 c=7.036 alpha=70.40 beta=90.00 gamma=90.00
Site moments in Bohr magnetons follow the coordinates.
Fractional coordinates of all 8 atoms:
Pr 0.500 0.500 0.000  -0.02
Pu 0.000 0.500 0.500  -5.03
Sc 0.000 0.000 0.000  0.01
Sc 0.500 0.000 0.500  -0.02
As 0.000 0.773 0.736  0.04
As 0.000 0.227 0.264  0.04
As 0.500 0.768 0.250  0.07
As 0.500 0.232 0.750  0.07

Properties
**Total magnetization**: 4.94 μB per formula unit
**Formation energy from the elements**: -990 kJ/mol of formula units
**Calculated volume**: 188 Å³ per cell
**Density of states at the Fermi level**: 12.99 states/eV/cell
**Mass density**: 6.8 g cm⁻³

# 7
The following is a DFT calculation (PBE) of Pr2PuScAs4 after structural relaxation.

Unit cell a=4.176 b=7.184 c=7.197 alpha=109.47 beta=90.00 gamma=90.00
Site moments in Bohr magnetons follow the coordinates.
Fractional coordinates of all 8 atoms:
Pr 0.500 0.000 0.500  0.03
Pr 0.000 0.500 0.500  0.01
Pu 0.000 0.000 0.000  4.97
Sc 0.500 0.500 0.000  0.02
As 0.500 0.249 0.231  -0.07
As 0.500 0.751 0.769  -0.07
As 0.000 0.263 0.772  -0.04
As 0.000 0.737 0.228  -0.04

Properties
**Total magnetization**: 4.94 μB per formula unit
**Formation energy from the elements**: -1011 kJ/mol of formula units
**Calculated volume**: 204 Å³ per cell
**Density of states at the Fermi level**: 13.13 states/eV/cell
**Mass density**: 7.1 g cm⁻³

# 8
The following is a DFT calculation (PBE) of PrSmPu2As4 after structural relaxation.

Unit cell a=4.203 b=7.248 c=7.277 alpha=70.45 beta=90.00 gamma=90.00
Site moments in Bohr magnetons follow the coordinates.
Fractional coordinates of all 8 atoms:
Pr 0.500 0.500 0.000  0.01
Sm 0.000 0.500 0.500  0.00
Pu 0.000 0.000 0.000  5.03
Pu 0.500 0.000 0.500  4.99
As 0.000 0.763 0.743  -0.10
As 0.000 0.237 0.257  -0.10
As 0.500 0.761 0.249  -0.10
As 0.500 0.239 0.751  -0.10

Properties
**Total magnetization**: 9.90 μB per formula unit
**Formation energy from the elements**: -974 kJ/mol of formula units
**Calculated volume**: 209 Å³ per cell
**Density of states at the Fermi level**: 22.48 states/eV/cell
**Mass density**: 8.6 g cm⁻³

# 9
The following is a DFT calculation (PBE) of Pr2SmPuAs4 after structural relaxation.

Unit cell a=4.247 b=7.338 c=7.341 alpha=109.45 beta=90.00 gamma=90.00
Site moments in Bohr magnetons follow the coordinates.
Fractional coordinates of all 8 atoms:
Pr 0.500 0.000 0.500  0.02
Pr 0.000 0.500 0.500  0.01
Sm 0.500 0.500 0.000  0.01
Pu 0.000 0.000 0.000  5.02
As 0.500 0.242 0.239  -0.08
As 0.500 0.758 0.761  -0.08
As 0.000 0.249 0.758  -0.04
As 0.000 0.751 0.242  -0.04

Properties
**Total magnetization**: 4.93 μB per formula unit
**Formation energy from the elements**: -1061 kJ/mol of formula units
**Calculated volume**: 216 Å³ per cell
**Density of states at the Fermi level**: 13.94 states/eV/cell
**Mass density**: 7.5 g cm⁻³

# 10
The following is a DFT calculation (PBE) of SrPr2PuAs4 after structural relaxation.

Unit cell a=4.303 b=7.432 c=7.453 alpha=70.80 beta=90.00 gamma=90.00
Site moments in Bohr magnetons follow the coordinates.
Fractional coordinates of all 8 atoms:
Sr 0.500 0.500 0.000  0.02
Pr 0.000 0.000 0.000  0.04
Pr 0.500 0.000 0.500  0.01
Pu 0.000 0.500 0.500  -4.91
As 0.000 0.750 0.734  0.10
As 0.000 0.250 0.266  0.10
As 0.500 0.743 0.264  0.10
As 0.500 0.257 0.736  0.10

Properties
**Total magnetization**: 4.19 μB per formula unit
**Formation energy from the elements**: -936 kJ/mol of formula units
**Calculated volume**: 225 Å³ per cell
**Density of states at the Fermi level**: 15.11 states/eV/cell
**Mass density**: 6.7 g cm⁻³

# 11
The following is a DFT calculation (PBE) of Tb2PrPuAs4 after structural relaxation.

Unit cell a=4.188 b=7.233 c=7.241 alpha=70.52 beta=90.00 gamma=90.00
Site moments in Bohr magnetons follow the coordinates.
Fractional coordinates of all 8 atoms:
Tb 0.000 0.000 0.000  -0.02
Tb 0.500 0.000 0.500  0.01
Pr 0.500 0.500 0.000  0.02
Pu 0.000 0.500 0.500  5.04
As 0.000 0.756 0.742  -0.04
As 0.000 0.244 0.258  -0.04
As 0.500 0.752 0.256  -0.07
As 0.500 0.248 0.744  -0.07

Properties
**Total magnetization**: 4.94 μB per formula unit
**Formation energy from the elements**: -1068 kJ/mol of formula units
**Calculated volume**: 207 Å³ per cell
**Density of states at the Fermi level**: 13.82 states/eV/cell
**Mass density**: 8.1 g cm⁻³

# 12
The following is a DFT calculation (PBE) of TbPrPu2As4 after structural relaxation.

Unit cell a=4.186 b=7.214 c=7.248 alpha=70.44 beta=90.00 gamma=90.00
Site moments in Bohr magnetons follow the coordinates.
Fractional coordinates of all 8 atoms:
Tb 0.000 0.500 0.500  -0.02
Pr 0.500 0.500 0.000  0.01
Pu 0.000 0.000 0.000  5.05
Pu 0.500 0.000 0.500  4.98
As 0.000 0.761 0.741  -0.10
As 0.000 0.239 0.259  -0.10
As 0.500 0.757 0.253  -0.10
As 0.500 0.243 0.747  -0.10

Properties
**Total magnetization**: 9.90 μB per formula unit
**Formation energy from the elements**: -974 kJ/mol of formula units
**Calculated volume**: 206 Å³ per cell
**Density of states at the Fermi level**: 21.99 states/eV/cell
**Mass density**: 8.8 g cm⁻³